# PBE+U Ac2MoPbO8, optimized geometry
data_Ac2MoPbO8
_cell_length_a 5.791
_cell_length_b 6.153
_cell_length_c 6.650
_cell_angle_alpha 75.72
_cell_angle_beta 77.29
_cell_angle_gamma 68.75
_symmetry_space_group_name_H-M 'P -1'
_symmetry_Int_Tables_number 2
_symmetry_space_group_name_Hall '-P 1'
loop_
_atom_site_label
_atom_site_fract_x
_atom_site_fract_y
_atom_site_fract_z
Ac1 0.094 0.154 0.189
Mo1 0.500 0.500 0.000
Pb1 0.500 0.500 0.500
O1 0.227 0.821 0.484
O2 0.263 0.821 0.989
O3 0.279 0.425 0.858
O4 0.323 0.397 0.271
# * magnetization: 0.00 μB per formula unit
# * calculated total energy: -7.0921 eV per atom